This record from Alexandria via LeMat-Bulk describes a relaxed Al2NiGeO6 crystal. The functional is PBE with a Hubbard U.

Properties
* space-group type: R3, No. 146
* mass density: 5.016 g/cm³
* calculated total energy: -6.65 eV/atom

a = 4.9130 Å, b = 4.9134 Å, c = 5.2804 Å
α = 62.27°, β = 62.28°, γ = 60.01°
Last column: magnetic moment on the atom in μB.
Positions (direct):
O  0.6063  0.2392  0.2405  0.03
O  0.2392  0.9139  0.2405  0.03
Ni  0.8097  0.8097  0.5712  1.76
Al  0.0163  0.0162  0.9512  0.00
O  0.7230  0.1350  0.7561  0.04
Al  0.5168  0.5167  0.4497  0.00
O  0.9139  0.6063  0.2405  0.03
O  0.3860  0.7230  0.7560  0.04
Ge  0.3155  0.3155  0.0534  0.01
O  0.1349  0.3860  0.7561  0.04